[1]
VASP calculation (GGA-PBE) on a geometry-optimized LaGe2Mo structure.

Space group   Fm-3m, No. 225
E_form   -0.067 eV/atom

POSCAR file:
```
LaGe2Mo
1.0
6.849 0.000 0.000
0.000 6.849 0.000
0.000 0.000 6.849
La Ge Mo
4 8 4
Cartesian
0.000 0.000 0.000 La
0.000 3.424 3.424 La
3.424 0.000 3.424 La
3.424 3.424 0.000 La
1.712 1.712 1.712 Ge
1.712 1.712 5.136 Ge
1.712 5.136 1.712 Ge
1.712 5.136 5.136 Ge
5.136 1.712 1.712 Ge
5.136 1.712 5.136 Ge
5.136 5.136 1.712 Ge
5.136 5.136 5.136 Ge
0.000 0.000 3.424 Mo
0.000 3.424 0.000 Mo
3.424 0.000 0.000 Mo
3.424 3.424 3.424 Mo
```

***

[2]
VASP calculation (GGA-PBE) on a geometry-optimized TlAg2Pb structure.

Space group   P4/mmm, No. 123
E_form   0.125 eV/atom

POSCAR file:
```
TlAg2Pb
1.0
4.930 0.000 0.000
0.000 4.930 0.000
0.000 0.000 3.951
Tl Ag Pb
1 2 1
Cartesian
0.000 0.000 0.000 Tl
0.000 2.465 1.975 Ag
2.465 0.000 1.975 Ag
2.465 2.465 0.000 Pb
```

***

[3]
VASP calculation (GGA-PBE) on a geometry-optimized Tb4Pr7Ho structure.

Space group   C2/m, No. 12
E_form   0.213 eV/atom

POSCAR file:
```
Tb4Pr7Ho
1.0
8.158 -3.036 0.000
8.158 3.036 0.000
-4.163 0.000 8.499
Tb Pr Ho
4 7 1
Cartesian
0.345 0.000 1.675 Tb
-0.889 0.000 7.542 Tb
13.043 0.000 0.957 Tb
11.809 0.000 6.824 Tb
-2.082 0.000 4.249 Pr
3.617 0.000 2.289 Pr
2.176 0.000 5.274 Pr
6.556 0.000 0.486 Pr
5.597 0.000 8.012 Pr
9.978 0.000 3.224 Pr
8.536 0.000 6.210 Pr
6.077 0.000 4.249 Ho
```

***

[4]
VASP calculation (GGA-PBE) on a geometry-optimized TiIn2Ni structure.

Space group   P4/mmm, No. 123
E_form   -0.081 eV/atom

POSCAR file:
```
TiIn2Ni
1.0
4.196 0.000 0.000
0.000 4.196 0.000
0.000 0.000 4.018
Ti In Ni
1 2 1
Cartesian
0.000 0.000 0.000 Ti
0.000 2.098 2.009 In
2.098 0.000 2.009 In
2.098 2.098 0.000 Ni
```

***

[5]
VASP calculation (GGA-PBE) on a geometry-optimized DyY2TeO8 structure.

Formation energy (no corrections)   -2.500 eV per atom
Space group   Cmmm, No. 65

POSCAR file:
```
DyY2TeO8
1.0
3.536 -3.595 0.000
3.536 3.595 0.000
0.000 0.000 6.880
Dy Y Te O
1 2 1 8
Cartesian
0.000 0.000 0.000 Dy
3.536 0.000 1.733 Y
3.536 0.000 5.147 Y
0.000 0.000 3.440 Te
3.536 2.288 1.981 O
3.536 2.288 4.899 O
1.946 0.000 3.440 O
2.183 0.000 0.000 O
4.890 0.000 0.000 O
5.126 0.000 3.440 O
3.536 -2.288 1.981 O
3.536 -2.288 4.899 O
```

***

[6]
VASP calculation (GGA-PBE) on a geometry-optimized Pr2ZnGaPt6 structure.

Space group   R-3m, No. 166
E_form   -0.742 eV/atom

POSCAR file:
```
Pr2ZnGaPt6
1.0
2.830 1.634 7.751
-2.830 1.634 7.751
0.000 -3.268 7.751
Pr Zn Ga Pt
2 1 1 6
Cartesian
0.000 0.000 4.755 Pr
0.000 0.000 18.499 Pr
0.000 0.000 11.627 Zn
0.000 0.000 0.000 Ga
0.000 -1.611 9.648 Pt
-1.395 0.806 9.648 Pt
-1.395 -0.806 13.606 Pt
1.395 0.806 9.648 Pt
1.395 -0.806 13.606 Pt
0.000 1.611 13.606 Pt
```

***

[7]
VASP calculation (GGA-PBE) on a geometry-optimized LiCd2Au2 structure.

Space group   P4/mbm, No. 127
E_form   -0.269 eV/atom

POSCAR file:
```
LiCd2Au2
1.0
7.048 0.000 0.000
0.000 7.048 0.000
0.000 0.000 4.030
Li Cd Au
2 4 4
Cartesian
0.000 0.000 0.000 Li
3.524 3.524 0.000 Li
1.139 2.385 2.015 Cd
2.385 5.910 2.015 Cd
4.663 1.139 2.015 Cd
5.910 4.663 2.015 Cd
1.013 4.537 0.000 Au
2.511 1.013 0.000 Au
4.537 6.035 0.000 Au
6.035 2.511 0.000 Au
```

***

[8]
VASP calculation (GGA-PBE) on a geometry-optimized Pr2NdSi6 structure.

Formation energy (no corrections)   -0.574 eV per atom
Space group   P6/mmm, No. 191

POSCAR file:
```
Pr2NdSi6
1.0
7.184 0.000 0.000
-3.592 6.221 0.000
0.000 0.000 4.204
Pr Nd Si
2 1 6
Cartesian
0.000 4.147 0.000 Pr
3.592 2.074 0.000 Pr
0.000 0.000 0.000 Nd
-1.195 2.070 2.102 Si
-2.397 4.151 2.102 Si
2.390 0.000 2.102 Si
1.195 2.070 2.102 Si
4.793 0.000 2.102 Si
2.397 4.151 2.102 Si
```

***

[9]
VASP calculation (GGA-PBE) on a geometry-optimized LaGa2FeSi structure.

Formation energy (no corrections)   -0.379 eV per atom
Space group   P4/mmm, No. 123

POSCAR file:
```
LaGa2FeSi
1.0
4.600 0.000 0.000
0.000 4.600 0.000
0.000 0.000 4.454
La Ga Fe Si
1 2 1 1
Cartesian
0.000 0.000 0.000 La
0.000 2.300 2.227 Ga
2.300 0.000 2.227 Ga
2.300 2.300 2.227 Fe
2.300 2.300 0.000 Si
```

***

[10]
VASP calculation (GGA-PBE) on a geometry-optimized Tl2CrRu structure.

Space group   Fm-3m, No. 225
E_form   0.580 eV/atom

POSCAR file:
```
Tl2CrRu
1.0
6.676 0.000 0.000
0.000 6.676 0.000
0.000 0.000 6.676
Tl Cr Ru
8 4 4
Cartesian
1.669 1.669 1.669 Tl
1.669 1.669 5.007 Tl
1.669 5.007 1.669 Tl
1.669 5.007 5.007 Tl
5.007 1.669 1.669 Tl
5.007 1.669 5.007 Tl
5.007 5.007 1.669 Tl
5.007 5.007 5.007 Tl
0.000 0.000 0.000 Cr
0.000 3.338 3.338 Cr
3.338 0.000 3.338 Cr
3.338 3.338 0.000 Cr
0.000 0.000 3.338 Ru
0.000 3.338 0.000 Ru
3.338 0.000 0.000 Ru
3.338 3.338 3.338 Ru
```

***

[11]
VASP calculation (GGA-PBE) on a geometry-optimized CaTbBe2Si2 structure.

Formation energy (no corrections)   -0.497 eV per atom
Space group   P-3m1, No. 164

POSCAR file:
```
CaTbBe2Si2
1.0
3.909 0.000 0.000
-1.955 3.386 0.000
0.000 0.000 8.315
Ca Tb Be Si
1 1 2 2
Cartesian
0.000 0.000 0.000 Ca
0.000 0.000 4.157 Tb
0.000 2.257 6.103 Be
1.955 1.128 2.211 Be
0.000 2.257 2.165 Si
1.955 1.128 6.149 Si
```

***

[12]
VASP calculation (GGA-PBE) on a geometry-optimized InCoMo3 structure.

Space group   Pm-3m, No. 221
E_form   1.001 eV/atom

POSCAR file:
```
InCoMo3
1.0
4.500 0.000 0.000
0.000 4.500 0.000
0.000 0.000 4.500
In Co Mo
1 1 3
Cartesian
0.000 0.000 0.000 In
2.250 2.250 2.250 Co
0.000 2.250 2.250 Mo
2.250 0.000 2.250 Mo
2.250 2.250 0.000 Mo
```

***

Number 4 is which compound?
TiIn2Ni